CrSiIr2: optimized geometry, PBE.

Lattice parameters (Å, degrees): 2.7965 2.7965 6.8279 90.00 90.00 90.00
Closest atoms and distances in Å follow each position.
Positions (direct):
Cr 0.0000 0.0000 0.0000  8 Ir 2.72, 4 Cr 2.80
Si 0.0000 0.0000 0.5000  8 Ir 2.51, 4 Si 2.80
Ir 0.5000 0.5000 0.2732  4 Si 2.51, 4 Cr 2.72, 4 Ir 2.80
Ir 0.5000 0.5000 0.7268  4 Si 2.51, 4 Cr 2.72, 4 Ir 2.80

Computed properties:
- total magnetization (μB per atom) = 0.31
- N(E_F) (states/eV/cell) = 2.699
- formation energy without anion corrections (eV/atom) = -0.319
- symmetry = P4/mmm (123)
- final energy (eV per atom) = -8.511